No. 1
First-principles (PBE) data for CsH6S2O2 after structural relaxation, as listed in Alexandria.

abc: 4.9456 7.9465 6.0536
angles: 112.69 99.16 65.71
Closest atoms and distances in Å follow each position.
Fractional coordinates of all 11 atoms:
H 0.3274 0.7075 0.6901  1 O 0.99
H 0.0859 0.3279 0.1690  1 S 1.35
H 0.6726 0.2925 0.3099  1 O 0.99
H 0.2017 0.6365 0.4307  1 O 1.00
H 0.7983 0.3635 0.5693  1 O 1.00
H 0.9141 0.6721 0.8310  1 S 1.35
S 0.7428 0.6150 0.9168  1 H 1.35
S 0.2572 0.3850 0.0832  1 H 1.35
O 0.1663 0.7537 0.5819  2 H 0.99-1.00
O 0.8337 0.2463 0.4181  2 H 0.99-1.00
Cs 0.5000 0.0000 0.5000  4 O 3.14-3.24, 4 H 3.39-3.44

Summary:
VASP energy	-4.29	eV/atom

***

No. 2
First-principles (PBE) data for Cs2ZnH12S2O14 after structural relaxation, as listed in Alexandria.

abc: 6.4633 9.3632 12.9263
angles: 90.00 90.00 106.01
Closest atoms and distances in Å follow each position.
Fractional coordinates of all 62 atoms:
O 0.9427 0.3581 0.8178  1 S 1.50
O 0.0573 0.6419 0.1822  1 S 1.50
O 0.6064 0.7675 0.5841  1 S 1.50
O 0.2878 0.9924 0.0665  2 H 1.00
O 0.3865 0.0844 0.2609  1 S 1.49
O 0.1670 0.1606 0.8875  2 H 0.99-1.00
O 0.2878 0.4924 0.4335  2 H 1.00
O 0.7122 0.0076 0.9335  2 H 1.00
O 0.0099 0.3241 0.6105  2 H 0.99-1.00
O 0.9901 0.6759 0.3895  2 H 0.99-1.00
O 0.6135 0.4156 0.7609  1 S 1.49
O 0.9901 0.1759 0.1105  2 H 0.99-1.00
O 0.3936 0.2325 0.4159  1 S 1.50
O 0.2051 0.4696 0.0819  1 S 1.49
O 0.8330 0.3394 0.3875  2 H 0.99-1.00
O 0.6064 0.2675 0.9159  1 S 1.50
O 0.3936 0.7325 0.0841  1 S 1.50
O 0.1670 0.6606 0.6125  2 H 0.99-1.00
O 0.0573 0.1419 0.3178  1 S 1.50
O 0.9427 0.8581 0.6822  1 S 1.50
O 0.8330 0.8394 0.1125  2 H 0.99-1.00
O 0.7122 0.5076 0.5665  2 H 1.00
O 0.7949 0.0304 0.5819  1 S 1.49
O 0.7949 0.5304 0.9181  1 S 1.49
O 0.0099 0.8241 0.8895  2 H 0.99-1.00
O 0.6135 0.9156 0.7391  1 S 1.49
O 0.2051 0.9696 0.4181  1 S 1.49
O 0.3865 0.5844 0.2391  1 S 1.49
H 0.9232 0.7202 0.9024  1 O 0.99
H 0.6750 0.1040 0.9352  1 O 1.00
H 0.9084 0.2635 0.3705  1 O 0.99
H 0.6948 0.9764 0.8595  1 O 1.00
H 0.3250 0.8960 0.0648  1 O 1.00
H 0.0768 0.7798 0.4024  1 O 0.99
H 0.9825 0.3442 0.6842  1 O 1.00
H 0.3216 0.2099 0.9016  1 O 1.00
H 0.6750 0.6040 0.5648  1 O 1.00
H 0.0916 0.7365 0.6295  1 O 0.99
H 0.3052 0.0236 0.1405  1 O 1.00
H 0.3052 0.5236 0.3595  1 O 1.00
H 0.6784 0.7901 0.0984  1 O 1.00
H 0.0768 0.2798 0.0976  1 O 0.99
H 0.9825 0.8442 0.8158  1 O 1.00
H 0.6784 0.2901 0.4016  1 O 1.00
H 0.6948 0.4764 0.6405  1 O 1.00
H 0.9232 0.2202 0.5976  1 O 0.99
H 0.9084 0.7635 0.1295  1 O 0.99
H 0.3216 0.7099 0.5984  1 O 1.00
H 0.0916 0.2365 0.8705  1 O 0.99
H 0.0175 0.1558 0.1842  1 O 1.00
H 0.0175 0.6558 0.3158  1 O 1.00
H 0.3250 0.3960 0.4352  1 O 1.00
S 0.2585 0.6059 0.1472  4 O 1.49-1.50
S 0.7415 0.8941 0.6472  4 O 1.49-1.50
S 0.7415 0.3941 0.8528  4 O 1.49-1.50
S 0.2585 0.1059 0.3528  4 O 1.49-1.50
Cs 0.3512 0.6273 0.8553  8 O 3.10-3.40, 3 H 3.18-3.43
Cs 0.3512 0.1273 0.6447  8 O 3.10-3.40, 3 H 3.18-3.43
Cs 0.6488 0.3727 0.1447  8 O 3.10-3.40, 3 H 3.18-3.43
Cs 0.6488 0.8727 0.3553  8 O 3.10-3.40, 3 H 3.18-3.43
Zn 0.0000 0.0000 0.0000  6 O 2.07-2.19
Zn 0.0000 0.5000 0.5000  6 O 2.07-2.19

Summary:
VASP energy	-5.23	eV/atom

***

No. 3
First-principles (PBE) data for CsSbH4O5 after structural relaxation, as listed in Alexandria.

abc: 8.2162 6.7647 6.7710
angles: 64.44 59.16 72.07
Closest atoms and distances in Å follow each position.
Fractional coordinates of all 22 atoms:
O 0.0812 0.7234 0.6569  1 H 1.00
O 0.6354 0.5262 0.7071  1 H 0.99
O 0.0036 0.3191 0.6834  2 Sb 2.02
O 0.7433 0.5323 0.0458  1 H 1.00
O 0.2782 0.0752 0.3540  1 H 1.00
O 0.2567 0.4677 0.9542  1 H 1.00
O 0.7218 0.9248 0.6460  1 H 1.00
O 0.9964 0.6809 0.3166  2 Sb 2.02
O 0.3646 0.4738 0.2929  1 H 0.99
O 0.9188 0.2766 0.3431  1 H 1.00
H 0.8098 0.0427 0.5323  1 O 1.00
H 0.8699 0.3767 0.2207  1 O 1.00
H 0.6063 0.5078 0.1234  1 O 1.00
H 0.3937 0.4922 0.8766  1 O 1.00
H 0.3018 0.5628 0.4016  1 O 0.99
H 0.6982 0.4372 0.5984  1 O 0.99
H 0.1902 0.9573 0.4677  1 O 1.00
H 0.1301 0.6233 0.7793  1 O 1.00
Cs 0.2893 0.0136 0.8803  5 O 3.04-3.36, 1 H 3.37
Cs 0.7107 0.9864 0.1197  5 O 3.04-3.36, 1 H 3.37
Sb 0.8612 0.6229 0.6807  6 O 1.99-2.05
Sb 0.1388 0.3771 0.3193  6 O 1.99-2.05

Summary:
VASP energy	-5.25	eV/atom

***

No. 4
First-principles (PBE) data for CsSb2H2O6 after structural relaxation, as listed in Alexandria.

abc: 5.9572 7.9069 5.2538
angles: 101.94 99.53 58.10
Closest atoms and distances in Å follow each position.
Fractional coordinates of all 11 atoms:
O 0.1539 0.3314 0.0999  2 Sb 2.03-2.05
O 0.8461 0.6686 0.9001  2 Sb 2.03-2.05
O 0.8819 0.2338 0.6167  1 H 1.01
O 0.6240 0.3838 0.1784  1 H 1.65
O 0.1181 0.7662 0.3833  1 H 1.01
O 0.3760 0.6162 0.8216  1 H 1.65
Sb 0.7793 0.4457 0.9204  5 O 1.97-2.08
Sb 0.2207 0.5543 0.0796  5 O 1.97-2.08
H 0.2196 0.7078 0.5484  1 O 1.01
H 0.7804 0.2922 0.4516  1 O 1.01
Cs 0.5000 0.0000 0.5000  6 O 3.23-3.53, 2 H 3.56

Summary:
VASP energy	-5.42	eV/atom